1.
Computed, not measured: a relaxed BO crystal at the GGA-PBE level of DFT.

Results
Density of states at the Fermi level   2.7 states/eV per cell
Space group   F-43m
Calculated total energy   -5.62 eV per atom
Relative energy among the computed polymorphs   2019 meV per atom
Size of the total moment   0.0 Bohr magnetons per cell

a = 3.9305 Å, b = 3.9305 Å, c = 3.9305 Å
α = 90.00°, β = 90.00°, γ = 90.00°
Last column: nearest neighbours and their distance in Å.
Atoms (fractional coordinates):
O 0.0000 0.5000 0.5000  4 B 1.70
O 0.0000 0.0000 0.0000  4 B 1.70
B 0.7500 0.2500 0.7500  4 O 1.70
B 0.2500 0.2500 0.2500  4 O 1.70
O 0.5000 0.5000 0.0000  4 B 1.70
O 0.5000 0.0000 0.5000  4 B 1.70
B 0.2500 0.7500 0.7500  4 O 1.70
B 0.7500 0.7500 0.2500  4 O 1.70

***

2.
Computed, not measured: a relaxed BO crystal at the GGA-PBE level of DFT.

Results
Density of states at the Fermi level   2.3 states/eV per cell
Space group   Pmmn
Calculated total energy   -6.96 eV per atom
Relative energy among the computed polymorphs   686 meV per atom
Size of the total moment   1.3 Bohr magnetons per cell

a = 2.3496 Å, b = 7.1897 Å, c = 10.7712 Å
α = 90.00°, β = 90.00°, γ = 90.00°
Last column: nearest neighbours and their distance in Å.
Atoms (fractional coordinates):
B 0.0000 0.7100 0.0000  2 B 2.35
B 0.5000 0.2202 0.1253  3 O 1.35-1.38
O 0.0000 0.2243 0.1918  2 B 1.38
O 0.0000 0.2243 0.8082  2 B 1.38
B 0.5000 0.2900 0.5000  2 B 2.35
B 0.5000 0.2202 0.8747  3 O 1.35-1.38
O 0.5000 0.7757 0.6918  2 B 1.38
B 0.0000 0.7798 0.6253  3 O 1.35-1.38
O 0.5000 0.7757 0.3082  2 B 1.38
O 0.0000 0.7881 0.5000  2 B 1.35
B 0.0000 0.7798 0.3747  3 O 1.35-1.38
O 0.5000 0.2119 0.0000  2 B 1.35